A plane-wave DFT calculation with PBE was carried out for a relaxed NaTeAs2Br crystal.

Cell lengths 5.342, 5.342, 4.901 Å; angles 90.00, 90.00, 90.00 degrees
Atoms (fractional coordinates):
Na: 0.000 0.000 0.000
Te: 0.500 0.500 0.500
As: 0.000 0.500 0.000
As: 0.500 0.000 0.000
Br: 0.000 0.000 0.500

Properties
ΔE_f (raw) ... 716 meV per atom
SG ... No. 123
Crystal system ... tetragonal